Entry 1:
Compound: Ca2RuRhO8
Source: Alexandria
Functional: PBE-GGA
Structure: optimized geometry

## Properties
The density of states at the Fermi level is 6.2 states/eV/f.u. Its uncorrected energy is -6.378 eV/atom. Its formation energy (no corrections) is -1.35 eV per atom. The symmetry is P2/m, No. 10.

Structure (CIF):
```
data_Ca2RuRhO8
_cell_length_a 5.015
_cell_length_b 6.393
_cell_length_c 5.029
_cell_angle_alpha 90.00
_cell_angle_beta 91.35
_cell_angle_gamma 90.00
_symmetry_space_group_name_H-M 'P 1'
_symmetry_Int_Tables_number 1
_symmetry_space_group_name_Hall 'P 1'
loop_
_atom_site_label
_atom_site_type_symbol
_atom_site_fract_x
_atom_site_fract_y
_atom_site_fract_z
_atom_site_occupancy
Ca1 Ca 0.000 0.249 0.000 1
Ca2 Ca 0.000 0.751 0.000 1
Ru1 Ru 0.500 0.500 0.500 1
Rh1 Rh 0.500 0.000 0.500 1
O1 O 0.235 0.000 0.233 1
O2 O 0.239 0.500 0.237 1
O3 O 0.327 0.258 0.670 1
O4 O 0.327 0.742 0.670 1
O5 O 0.673 0.258 0.330 1
O6 O 0.673 0.742 0.330 1
O7 O 0.761 0.500 0.763 1
O8 O 0.765 0.000 0.767 1
```

Entry 2:
Compound: Tl6AsAu4
Source: Alexandria
Functional: PBE-GGA
Structure: optimized geometry

## Properties
The density of states at the Fermi level is 5.7 states/eV/f.u. Its uncorrected energy is -2.926 eV/atom. The formation energy comes out at -0.021 eV/atom. The symmetry is P6_3mc, No. 186.

Structure (CIF):
```
data_Tl6AsAu4
_cell_length_a 9.713
_cell_length_b 9.713
_cell_length_c 7.296
_cell_angle_alpha 90.00
_cell_angle_beta 90.00
_cell_angle_gamma 120.00
_symmetry_space_group_name_H-M 'P 1'
_symmetry_Int_Tables_number 1
_symmetry_space_group_name_Hall 'P 1'
loop_
_atom_site_label
_atom_site_type_symbol
_atom_site_fract_x
_atom_site_fract_y
_atom_site_fract_z
_atom_site_occupancy
Tl1 Tl 0.066 0.533 0.000 1
Tl2 Tl 0.130 0.260 0.685 1
Tl3 Tl 0.130 0.870 0.685 1
Tl4 Tl 0.260 0.130 0.185 1
Tl5 Tl 0.467 0.533 0.000 1
Tl6 Tl 0.467 0.934 0.000 1
Tl7 Tl 0.533 0.066 0.500 1
Tl8 Tl 0.533 0.467 0.500 1
Tl9 Tl 0.740 0.870 0.685 1
Tl10 Tl 0.870 0.130 0.185 1
Tl11 Tl 0.870 0.740 0.185 1
Tl12 Tl 0.934 0.467 0.500 1
As1 As 0.333 0.667 0.387 1
As2 As 0.667 0.333 0.887 1
Au1 Au 0.186 0.372 0.289 1
Au2 Au 0.186 0.814 0.289 1
Au3 Au 0.333 0.667 0.732 1
Au4 Au 0.372 0.186 0.789 1
Au5 Au 0.628 0.814 0.289 1
Au6 Au 0.667 0.333 0.232 1
Au7 Au 0.814 0.186 0.789 1
Au8 Au 0.814 0.628 0.789 1
```

Entry 3:
Compound: LaPm2Sm3As6
Source: Alexandria
Functional: PBE-GGA
Structure: optimized geometry

## Properties
The density of states at the Fermi level is 1.5 states/eV/f.u. Its uncorrected energy is -6.240 eV/atom. The formation energy comes out at -1.533 eV/atom. The symmetry is C2/m, No. 12.

Structure (CIF):
```
data_LaPm2Sm3As6
_cell_length_a 7.361
_cell_length_b 7.361
_cell_length_c 7.361
_cell_angle_alpha 99.59
_cell_angle_beta 99.59
_cell_angle_gamma 119.99
_symmetry_space_group_name_H-M 'P 1'
_symmetry_Int_Tables_number 1
_symmetry_space_group_name_Hall 'P 1'
loop_
_atom_site_label
_atom_site_type_symbol
_atom_site_fract_x
_atom_site_fract_y
_atom_site_fract_z
_atom_site_occupancy
La1 La 0.000 0.000 0.000 1
Pm1 Pm 0.333 0.667 0.000 1
Pm2 Pm 0.667 0.333 0.000 1
Sm1 Sm 0.166 0.834 0.500 1
Sm2 Sm 0.500 0.500 0.500 1
Sm3 Sm 0.834 0.166 0.500 1
As1 As 0.085 0.421 0.254 1
As2 As 0.252 0.252 0.747 1
As3 As 0.421 0.085 0.254 1
As4 As 0.579 0.915 0.746 1
As5 As 0.748 0.748 0.253 1
As6 As 0.915 0.579 0.746 1
```

Entry 4:
Compound: Tb3Pr6Ho2Tm
Source: Alexandria
Functional: PBE-GGA
Structure: optimized geometry

## Properties
The density of states at the Fermi level is 13.1 states/eV/f.u. Its uncorrected energy is -4.671 eV/atom. The formation energy comes out at 0.012 eV/atom. The symmetry is C2/m, No. 12.

Structure (CIF):
```
data_Tb3Pr6Ho2Tm
_cell_length_a 6.303
_cell_length_b 6.303
_cell_length_c 11.877
_cell_angle_alpha 95.06
_cell_angle_beta 95.06
_cell_angle_gamma 120.00
_symmetry_space_group_name_H-M 'P 1'
_symmetry_Int_Tables_number 1
_symmetry_space_group_name_Hall 'P 1'
loop_
_atom_site_label
_atom_site_type_symbol
_atom_site_fract_x
_atom_site_fract_y
_atom_site_fract_z
_atom_site_occupancy
Tb1 Tb 0.000 0.000 0.000 1
Tb2 Tb 0.333 0.667 0.000 1
Tb3 Tb 0.667 0.333 0.000 1
Pr1 Pr 0.084 0.417 0.251 1
Pr2 Pr 0.250 0.250 0.749 1
Pr3 Pr 0.417 0.084 0.251 1
Pr4 Pr 0.583 0.916 0.749 1
Pr5 Pr 0.750 0.750 0.251 1
Pr6 Pr 0.916 0.583 0.749 1
Ho1 Ho 0.167 0.833 0.500 1
Ho2 Ho 0.833 0.167 0.500 1
Tm1 Tm 0.500 0.500 0.500 1
```